VASP calculation (PBE) on a geometry-optimized DyPuPdRh structure.

Cell: 4.908 4.908 4.908 Å, 60.00 60.00 60.00°
Element x y z (fractional)
Dy  0.250  0.250  0.250
Rh  0.500  0.500  0.500
Pd  0.000  0.000  0.000
Pu  0.750  0.750  0.750

Properties
DOS(E_F), states/eV/cell: 11.18
Energy relative to the elements, eV per atom: -0.617

=====

VASP calculation (PBE) on a geometry-optimized CuS2Cl structure.

Cell: 6.091 6.091 6.380 Å, 61.49 61.49 90.00°
Element x y z (fractional)
S  0.702  0.125  0.250
S  0.048  0.625  0.250
S  0.375  0.298  0.750
S  0.875  0.952  0.750
Cu  0.000  0.000  0.000
Cu  0.750  0.250  0.500
Cl  0.500  0.500  0.000
Cl  0.250  0.750  0.500

Properties
DOS(E_F), states/eV/cell: 5.89
Uncorrected formation energy, eV per atom: 0.418

=====

VASP calculation (PBE) on a geometry-optimized PbW2Br structure.

Cell: 6.769 6.769 6.769 Å, 151.29 138.31 51.40°
Element x y z (fractional)
Pb  0.266  0.766  0.500
Br  0.548  0.548  0.000
W  0.915  0.915  0.000
W  0.771  0.271  0.500

Properties
DOS(E_F), states/eV/cell: 1.68
Uncorrected formation energy, eV per atom: 0.942

=====

Q: Among the records above, which one has the highest DOS(E_F)?
A: DyPuPdRh

=====

What did the first record say?
VASP calculation (PBE) on a geometry-optimized DyPuPdRh structure.

Cell: 4.908 4.908 4.908 Å, 60.00 60.00 60.00°
Element x y z (fractional)
Dy  0.250  0.250  0.250
Rh  0.500  0.500  0.500
Pd  0.000  0.000  0.000
Pu  0.750  0.750  0.750

Properties
DOS(E_F), states/eV/cell: 11.18
Energy relative to the elements, eV per atom: -0.617